Entry 1:
This record from Alexandria describes an optimized crystal structure of Ag2BiSe. The functional is PBE.

Geometry as POSCAR:
```
Ag2BiSe
1.0
-3.9191 3.9191 3.0352
3.9191 -3.9191 3.0352
3.9191 3.9191 -3.0352
Ag Bi Se
4 2 2
direct
0.1014 0.6250 0.9764 Ag
0.3750 0.3514 0.4764 Ag
0.6486 0.1250 0.0236 Ag
0.8750 0.8986 0.5236 Ag
0.2500 0.7500 0.5000 Bi
0.5000 0.5000 0.0000 Bi
0.0000 0.0000 0.0000 Se
0.7500 0.2500 0.5000 Se
```

Output
formation energy from raw total energies: 74.6 meV/atom

***

Entry 2:
This record from Alexandria describes an optimized crystal structure of Tb2YTl3Te6. The functional is PBE.

Geometry as POSCAR:
```
Tb2YTl3Te6
1.0
3.8641 -6.6928 0.0000
3.8641 6.6928 0.0000
-2.5767 0.0000 8.1843
Tb Y Tl Te
2 1 3 6
direct
0.1666 0.8334 0.0000 Tb
0.8334 0.1666 0.0000 Tb
0.5000 0.5000 0.0000 Y
0.0000 0.0000 0.5000 Tl
0.3332 0.6668 0.5000 Tl
0.6668 0.3332 0.5000 Tl
0.0959 0.4287 0.7860 Te
0.2387 0.2387 0.2142 Te
0.4287 0.0959 0.7860 Te
0.5713 0.9041 0.2140 Te
0.7613 0.7613 0.7858 Te
0.9041 0.5713 0.2140 Te
```

Output
formation energy from raw total energies: -1063.2 meV/atom

***

Entry 3:
This record from Alexandria describes an optimized crystal structure of TiAuNO2. The functional is PBE.

Geometry as POSCAR:
```
TiAuNO2
1.0
3.8336 0.0000 0.0000
0.0000 3.8336 0.0000
0.0000 0.0000 4.2040
Ti Au N O
1 1 1 2
direct
0.0000 0.0000 0.0000 Ti
0.5000 0.5000 0.5000 Au
0.0000 0.0000 0.5000 N
0.0000 0.5000 0.0000 O
0.5000 0.0000 0.0000 O
```

Output
formation energy from raw total energies: -567.7 meV/atom

***

Entry 4:
This record from Alexandria describes an optimized crystal structure of ScFe3As. The functional is PBE.

Geometry as POSCAR:
```
ScFe3As
1.0
4.4755 0.0000 0.0000
0.0000 4.4755 0.0000
0.0000 0.0000 4.4755
Sc Fe As
1 3 1
direct
0.0000 0.0000 0.0000 Sc
0.0000 0.0000 0.5000 Fe
0.0000 0.5000 0.0000 Fe
0.5000 0.0000 0.0000 Fe
0.5000 0.5000 0.5000 As
```

Output
distance to the lowest polymorph of the same formula: 92.0 kJ/mol of atoms

***

Entry 5:
This record from Alexandria describes an optimized crystal structure of RbHfIn. The functional is PBE.

Geometry as POSCAR:
```
RbHfIn
1.0
3.2596 0.0000 0.0000
-1.6104 6.7294 0.0000
-0.0069 -3.3579 9.0438
Rb Hf In
2 2 2
direct
0.0000 0.0000 0.0000 Rb
0.2700 0.6178 0.2420 Rb
0.2510 0.5886 0.6321 Hf
0.5731 0.2312 0.4588 Hf
0.6565 0.3909 0.8276 In
0.9397 0.9682 0.6050 In
```

Output
distance to the lowest polymorph of the same formula: 25.0 kJ/mol of atoms

***

Entry 6:
This record from Alexandria describes an optimized crystal structure of Y2MgIr2. The functional is PBE.

Geometry as POSCAR:
```
Y2MgIr2
1.0
5.1181 -2.7280 0.0000
5.1181 2.7280 0.0000
-2.4804 0.0000 7.7109
Y Mg Ir
4 2 4
direct
0.0077 0.7005 0.8531 Y
0.2995 0.9923 0.6469 Y
0.7005 0.0077 0.3531 Y
0.9923 0.2995 0.1469 Y
0.3633 0.6367 0.2500 Mg
0.6367 0.3633 0.7500 Mg
0.2066 0.5145 0.4848 Ir
0.4855 0.7934 0.0152 Ir
0.5145 0.2066 0.9848 Ir
0.7934 0.4855 0.5152 Ir
```

***

| no. | E (eV per atom) |
| --- | --- |
| 1 | -3.192 |
| 2 | -4.536 |
| 3 | -6.450 |
| 4 | -5.866 |
| 5 | -4.237 |
| 6 | -7.168 |